## TlSiRu2 (PBE-GGA)

Data for TlSiRu2 after structural relaxation.

D(E_F): 1.03 states/eV/atom
magnetic moment: 0.0 μB/f.u.
raw formation energy: 0.53 eV/atom
excess energy over the best structure of this formula in the dataset: 2.22 eV/f.u.

abc: 3.062 5.083 4.234
angles: 90.00 90.00 90.00
Fractional coordinates of all 4 atoms:
Ru 0.500 0.500 0.000
Ru 0.000 0.000 0.000
Tl 0.000 0.500 0.500
Si 0.500 0.000 0.500